{
  "formula": "Zn2NiSb2",
  "functional": "GGA-PBE",
  "state": "optimized geometry",
  "formation_energy_uncorrected_ev_per_fu": 1.29,
  "dos_at_fermi_per_ev_cell": 5.18,
  "relative_energy_mev_per_atom": 49,
  "lattice_angstrom": [[6.657, 0.000, 0.000], [0.000, 6.657, 0.000], [0.000, 0.000, 4.373]],
  "species": ["Sb", "Sb", "Sb", "Sb", "Zn", "Zn", "Zn", "Zn", "Ni", "Ni"],
  "frac_coords": [[0.672, 0.828, 0.500], [0.328, 0.172, 0.500], [0.172, 0.672, 0.500], [0.828, 0.328, 0.500], [0.357, 0.857, 0.000], [0.857, 0.643, 0.000], [0.643, 0.143, 0.000], [0.143, 0.357, 0.000], [0.500, 0.500, 0.000], [0.000, 0.000, 0.000]]
}


{
  "formula": "NaYMg2Ir",
  "functional": "GGA-PBE",
  "state": "optimized geometry",
  "dos_at_fermi_per_ev_cell": 2.33,
  "relative_energy_mev_per_atom": 0,
  "delta_e_f_ev_per_fu": -0.862,
  "lattice_angstrom": [[5.183, 0.000, 0.000], [0.000, 5.183, 0.000], [0.000, 0.000, 5.253]],
  "species": ["Mg", "Mg", "Na", "Y", "Ir"],
  "frac_coords": [[0.000, 0.500, 0.000], [0.500, 0.000, 0.000], [0.500, 0.500, 0.500], [0.000, 0.000, 0.500], [0.000, 0.000, 0.000]]
}


{
  "formula": "PuBeTlO5",
  "functional": "GGA-PBE",
  "state": "optimized geometry",
  "formation_energy_uncorrected_ev_per_fu": -15.66,
  "dos_at_fermi_per_ev_cell": 3.46,
  "lattice_angstrom": [[-4.688, -1.253, -3.240], [-0.330, -3.826, 4.393], [-1.231, 7.233, 3.140]],
  "species": ["O", "O", "O", "O", "O", "O", "O", "O", "O", "O", "Be", "Be", "Pu", "Pu", "Tl", "Tl"],
  "frac_coords": [[0.069, 0.931, 0.250], [0.878, 0.273, 0.120], [0.931, 0.069, 0.750], [0.122, 0.727, 0.880], [0.273, 0.878, 0.620], [0.727, 0.122, 0.380], [0.376, 0.217, 0.118], [0.624, 0.783, 0.882], [0.217, 0.376, 0.618], [0.783, 0.624, 0.382], [0.308, 0.692, 0.750], [0.692, 0.308, 0.250], [0.000, 0.000, 0.000], [0.000, 0.000, 0.500], [0.659, 0.341, 0.750], [0.341, 0.659, 0.250]]
}


{
  "formula": "LiV2C",
  "functional": "GGA-PBE",
  "state": "optimized geometry",
  "dos_at_fermi_per_ev_cell": 6.57,
  "delta_e_f_ev_per_fu": 1.422,
  "lattice_angstrom": [[-2.037, -1.959, -5.580], [5.892, -0.164, -2.094], [2.116, -3.264, -3.133]],
  "species": ["V", "V", "V", "V", "C", "C", "Li", "Li"],
  "frac_coords": [[0.875, 0.942, 0.750], [0.375, 0.308, 0.750], [0.692, 0.125, 0.250], [0.058, 0.625, 0.250], [0.750, 0.250, 0.500], [0.000, 0.000, 0.000], [0.500, 0.500, 0.000], [0.250, 0.750, 0.500]]
}


| no. | VASP energy (eV/atom) |
| --- | --- |
| 1 | -3.06 |
| 2 | -4.14 |
| 3 | -7.61 |
| 4 | -6.99 |